A plane-wave DFT calculation with GGA-PBE was carried out for an optimized crystal structure of ZnTeRhI2.

Distance to the lowest polymorph of the same formula = 0.499 eV per atom
Magnetization = 0.2568 μB/atom
Crystal system = tetragonal
Space-group type = No. 123

Cell lengths 5.437, 4.925, 5.437 Å; angles 90.00, 90.00, 90.00 degrees
Atoms (fractional coordinates):
I1 0.000 0.000 0.500
I2 0.500 0.000 0.000
Te1 0.500 0.500 0.500
Zn1 0.000 0.000 0.000
Rh1 0.000 0.500 0.000